# LiTbZn2 GGA-PBE optimized geometry
# Relative energy among the computed polymorphs: 0.0492 eV/atom
# Formation energy: -0.800 eV per formula unit
# Volume: 76.5 Å³ per cell
# Fermi-level density of states: 0.9385 states/eV per atom
data_LiTbZn2
_chemical_formula_sum 'Li1 Tb1 Zn2'
_cell_length_a 3.321
_cell_length_b 3.321
_cell_length_c 6.935
_cell_angle_alpha 90.00
_cell_angle_beta 90.00
_cell_angle_gamma 90.00
_symmetry_space_group_name_H-M 'P 4/m m m'
_symmetry_Int_Tables_number 123
_symmetry_space_group_name_Hall '-P 4 2'
loop_
_atom_site_label
_atom_site_fract_x
_atom_site_fract_y
_atom_site_fract_z
_atom_site_occupancy
Li1 0.000 0.000 0.000 1
Tb1 0.000 0.000 0.500 1
Zn1 0.500 0.500 0.206 1